# 1
Te3ClO3 | PBE | relaxed

a = 7.4235 Å, b = 7.4235 Å, c = 7.9277 Å
α = 62.08°, β = 62.08°, γ = 60.00°
Fractional coordinates of all 14 atoms:
1 Te 0.1074 0.6282 0.2792
2 Te 0.9852 0.1074 0.2792
3 Te 0.6282 0.9852 0.2792
4 Te 0.3718 0.0148 0.7208
5 Te 0.0148 0.8926 0.7208
6 Te 0.8926 0.3718 0.7208
7 Cl 0.3396 0.3396 0.9813
8 Cl 0.6604 0.6604 0.0187
9 O 0.5976 0.7954 0.5588
10 O 0.7954 0.0482 0.5588
11 O 0.0482 0.5976 0.5588
12 O 0.9518 0.4024 0.4412
13 O 0.2046 0.9518 0.4412
14 O 0.4024 0.2046 0.4412

## Properties
* DFT total energy: -4.1573 eV per atom
* energy relative to the elements, uncorrected: -0.422 eV per atom

=====

# 2
TeClO2 | PBE | relaxed

a = 5.9497 Å, b = 5.2710 Å, c = 12.7642 Å
α = 90.99°, β = 94.96°, γ = 102.14°
Fractional coordinates of all 16 atoms:
1 Te 0.1063 0.2769 0.5470
2 Te 0.8937 0.7231 0.4530
3 Te 0.4736 0.2412 0.9381
4 Te 0.5264 0.7588 0.0619
5 Cl 0.3333 0.5822 0.2052
6 Cl 0.6667 0.4178 0.7948
7 Cl 0.8360 0.9763 0.1787
8 Cl 0.1640 0.0237 0.8213
9 O 0.6586 0.9703 0.9440
10 O 0.3414 0.0297 0.0560
11 O 0.1844 0.6130 0.4602
12 O 0.8156 0.3870 0.5398
13 O 0.7002 0.4847 0.0382
14 O 0.2998 0.5153 0.9618
15 O 0.0788 0.0868 0.4143
16 O 0.9212 0.9132 0.5857

## Properties
* DFT total energy: -4.4595 eV per atom
* energy relative to the elements, uncorrected: -0.733 eV per atom
* ΔE to the lowest computed polymorph: 0 meV per atom

=====

# 3
TlTeClO2 | PBE | relaxed

a = 4.2302 Å, b = 7.2042 Å, c = 8.1463 Å
α = 86.03°, β = 90.00°, γ = 90.00°
Fractional coordinates of all 10 atoms:
1 Tl 0.7500 0.2320 0.5871
2 Tl 0.2500 0.7680 0.4129
3 Te 0.2500 0.8498 0.9087
4 Te 0.7500 0.1502 0.0913
5 Cl 0.7500 0.4963 0.2542
6 Cl 0.2500 0.5037 0.7458
7 O 0.7500 0.9195 0.9531
8 O 0.2500 0.0805 0.0469
9 O 0.2500 0.9725 0.7037
10 O 0.7500 0.0275 0.2963

## Properties
* DFT total energy: -4.3924 eV per atom
* energy relative to the elements, uncorrected: -0.938 eV per atom

=====

# 4
TlTeCl2O | PBE | relaxed

a = 5.6949 Å, b = 4.0104 Å, c = 5.6949 Å
α = 90.00°, β = 90.00°, γ = 90.00°
Last column: magnetic moment on the atom in μB.
Fractional coordinates of all 5 atoms:
1 Tl 0.0000 0.0000 0.0000  0.00
2 Te 0.5000 0.5000 0.5000  1.17
3 O 0.0000 0.5000 0.0000  0.04
4 Cl 0.0000 0.0000 0.5000  0.19
5 Cl 0.5000 0.0000 0.0000  0.14

## Properties
* DFT total energy: -2.7914 eV per atom
* energy relative to the elements, uncorrected: 0.040 eV per atom